This record from the Alexandria database describes a relaxed structure of SrAl2AsO6. The functional is PBE-GGA.

Results
The value obtained for the total energy is -0.2477 Ha/atom. Its crystal system is monoclinic. The calculation puts the uncorrected formation energy at -2.3834 eV per atom.

Cell: 10.885 9.941 6.144 Å, 90.00 113.80 90.00°
Space group C2/c (No. 15)
One atom of each set of equivalent atoms:
Sr  0.000  0.118  0.250 [4 per cell]
Al  0.224  0.420  0.191 [8 per cell]
As  0.000  0.260  0.750 [4 per cell]
O  0.102  0.140  0.686 [8 per cell]
O  0.108  0.285  0.078 [8 per cell]
O  0.225  0.475  0.463 [8 per cell]

=====

This record from the Alexandria database describes a relaxed structure of TbAlAsO5. The functional is PBE-GGA.

Results
The value obtained for the total energy is -0.2598 Ha/atom. Its crystal system is monoclinic. The calculation puts the uncorrected formation energy at -2.3415 eV per atom.

Cell: 7.059 8.486 7.443 Å, 90.00 117.72 90.00°
Space group C2/c (No. 15)
One atom of each set of equivalent atoms:
Tb  0.000  0.061  0.250 [4 per cell]
Al  0.250  0.250  0.000 [4 per cell]
As  0.000  0.448  0.250 [4 per cell]
O  0.000  0.200  0.750 [4 per cell]
O  0.045  0.305  0.100 [8 per cell]
O  0.219  0.034  0.075 [8 per cell]

=====

Q: Which of these has the highest uncorrected formation energy?
A: TbAlAsO5

=====

Q: What is the formula in the first record?
A: SrAl2AsO6

=====

Q: Which of these has the lowest uncorrected formation energy?
A: SrAl2AsO6

=====

Q: Which value of uncorrected formation energy does entry 1 give?
A: -2.3834 eV per atom